[1]
The following is a DFT calculation (PBE) of crystalline MgBRu at its relaxed geometry.

Output
The calculation puts the calculated total energy at -5.91 eV per atom. Its crystal system is orthorhombic. Its energy above the most stable polymorph in this dataset is 191 meV/atom. The formation energy is -62 meV/atom. The calculation puts the density at 5.3 Mg/m³.

Cell: 3.9825 10.2807 4.1989 Å, 90.00 90.00 90.00°
Space group Cmcm (No. 63)
Asymmetric unit:
Mg 0.0000 0.0782 0.2500
B 0.0000 0.3225 0.2500
Ru 0.0000 0.2306 0.7500



[2]
The following is a DFT calculation (PBE) of crystalline PrCd2Ag4 at its relaxed geometry.

Output
The calculation puts the calculated total energy at -2.78 eV per atom. Its crystal system is tetragonal. The formation energy is -204 meV/atom. The calculation puts the density at 8.9 Mg/m³.

Cell: 7.2758 7.2758 5.6297 Å, 90.00 90.00 90.00°
Space group I4/mmm (No. 139)
Asymmetric unit:
Pr 0.0000 0.0000 0.0000
Cd 0.0000 0.5000 0.2500
Ag 0.1928 0.1928 0.5000



[3]
The following is a DFT calculation (PBE) of crystalline LiTlNi2 at its relaxed geometry.

Output
The calculation puts the calculated total energy at -3.58 eV per atom. Its crystal system is trigonal. The formation energy is 380 meV/atom. The calculation puts the density at 8.4 Mg/m³.

Cell: 2.9845 2.9845 25.1959 Å, 90.00 90.00 120.00°
Space group R3m (No. 160, hexagonal axes)
Asymmetric unit:
Li 0.0000 0.0000 0.0000
Tl 0.0000 0.0000 0.2333
Ni 0.0000 0.0000 0.4799
Ni 0.0000 0.0000 0.7450



[4]
The following is a DFT calculation (PBE) of crystalline LiZn4Ni at its relaxed geometry.

Output
The calculation puts the calculated total energy at -2.29 eV per atom. Its crystal system is monoclinic. Its energy above the most stable polymorph in this dataset is 0 meV/atom. The formation energy is -157 meV/atom. The calculation puts the density at 6.6 Mg/m³.

Cell: 9.2865 2.7517 6.9812 Å, 90.00 112.67 90.00°
Space group C2/m (No. 12)
Asymmetric unit:
Li 0.0000 0.0000 0.0000
Zn 0.1510 0.5000 0.3444
Zn 0.1751 0.5000 0.8175
Ni 0.0000 0.0000 0.5000



[5]
The following is a DFT calculation (PBE) of crystalline Pm3Mg7Sn2 at its relaxed geometry.

Output
The calculation puts the calculated total energy at -2.98 eV per atom. Its crystal system is trigonal. The formation energy is -199 meV/atom. The calculation puts the density at 4.5 Mg/m³.

Cell: 6.1209 6.1209 28.9810 Å, 90.00 90.00 120.00°
Space group R-3m (No. 166, hexagonal axes)
Asymmetric unit:
Pm 0.0000 0.0000 0.0000
Pm 0.0000 0.0000 0.1436
Mg 0.0000 0.0000 0.5000
Mg 0.0056 0.5028 0.9171
Sn 0.0000 0.0000 0.3344



[6]
The following is a DFT calculation (PBE) of crystalline Y2ZnGa9 at its relaxed geometry.

Output
The calculation puts the calculated total energy at -3.78 eV per atom. Its crystal system is tetragonal. The formation energy is -325 meV/atom. The calculation puts the density at 6.3 Mg/m³.

Cell: 4.2801 4.2801 12.4722 Å, 90.00 90.00 90.00°
Space group P4/mmm (No. 123)
Asymmetric unit:
Y 0.0000 0.0000 0.1727
Zn 0.0000 0.0000 0.5000
Ga 0.0000 0.5000 0.0000
Ga 0.0000 0.5000 0.3509
Ga 0.5000 0.5000 0.1634
Ga 0.5000 0.5000 0.5000



- calculated total energy of number 4 (LiZn4Ni)?
  -2.29 eV per atom



- What is the calculated total energy in the first record?
  -5.91 eV per atom



- Which of these has the highest calculated total energy?
  LiZn4Ni



- Which value of calculated total energy does entry 2 give?
  -2.78 eV per atom